This record from Alexandria via LeMat-Bulk describes an optimized crystal structure of SnSbI2O. The functional is GGA-PBE.

Computed properties:
Its density of states at the Fermi level is 3.046 states/eV per cell. Its total magnetization is 0.00 μB per cell. The value obtained for the polymorph energy (0 for the lowest one) is 0.114 eV per atom. The formation energy without anion corrections comes out at -93 meV per atom. Its uncorrected energy is -16.65 eV per cell.

```
data_SnSbI2O
_space_group_name_H-M_alt 'P 4/m m m'
_space_group_IT_number 123
_space_group_name_Hall '-P 4 2'
_cell_length_a 6.169
_cell_length_b 6.169
_cell_length_c 3.997
_cell_angle_alpha 90.00
_cell_angle_beta 90.00
_cell_angle_gamma 90.00
loop_
_atom_site_label
_atom_site_fract_x
_atom_site_fract_y
_atom_site_fract_z
_atom_site_occupancy
Sn1 0.000 0.000 0.000 1
Sb1 0.500 0.500 0.500 1
I1 0.000 0.500 0.000 1
O1 0.000 0.000 0.500 1
```

This record from Alexandria via LeMat-Bulk describes an optimized crystal structure of SrSbIO2. The functional is GGA-PBE.

Computed properties:
Its density of states at the Fermi level is 1.266 states/eV per cell. Its total magnetization is 0.00 μB per cell. The formation energy without anion corrections comes out at -950 meV per atom. Its uncorrected energy is -22.02 eV per cell.

```
data_SrSbIO2
_space_group_name_H-M_alt 'P 4/m m m'
_space_group_IT_number 123
_space_group_name_Hall '-P 4 2'
_cell_length_a 4.448
_cell_length_b 4.448
_cell_length_c 5.968
_cell_angle_alpha 90.00
_cell_angle_beta 90.00
_cell_angle_gamma 90.00
loop_
_atom_site_label
_atom_site_fract_x
_atom_site_fract_y
_atom_site_fract_z
_atom_site_occupancy
Sr1 0.000 0.000 0.000 1
Sb1 0.500 0.500 0.500 1
I1 0.500 0.500 0.000 1
O1 0.000 0.500 0.500 1
```

This record from Alexandria via LeMat-Bulk describes an optimized crystal structure of SrSb2IO. The functional is GGA-PBE.

Computed properties:
Its density of states at the Fermi level is 3.747 states/eV per cell. Its total magnetization is 0.00 μB per cell. The value obtained for the polymorph energy (0 for the lowest one) is 0.000 eV per atom. The formation energy without anion corrections comes out at -638 meV per atom. Its uncorrected energy is -19.62 eV per cell.

```
data_SrSb2IO
_space_group_name_H-M_alt 'P 4/m m m'
_space_group_IT_number 123
_space_group_name_Hall '-P 4 2'
_cell_length_a 4.608
_cell_length_b 4.608
_cell_length_c 6.843
_cell_angle_alpha 90.00
_cell_angle_beta 90.00
_cell_angle_gamma 90.00
loop_
_atom_site_label
_atom_site_fract_x
_atom_site_fract_y
_atom_site_fract_z
_atom_site_occupancy
Sr1 0.000 0.000 0.000 1
Sb1 0.000 0.500 0.500 1
I1 0.500 0.500 0.000 1
O1 0.500 0.500 0.500 1
```

This record from Alexandria via LeMat-Bulk describes an optimized crystal structure of SrSbIO2. The functional is GGA-PBE.

Computed properties:
Its density of states at the Fermi level is 6.967 states/eV per cell. Its total magnetization is 1.00 μB per cell. The formation energy without anion corrections comes out at -240 meV per atom. Its uncorrected energy is -18.47 eV per cell.

```
data_SrSbIO2
_space_group_name_H-M_alt 'P 4/m m m'
_space_group_IT_number 123
_space_group_name_Hall '-P 4 2'
_cell_length_a 4.633
_cell_length_b 4.633
_cell_length_c 6.423
_cell_angle_alpha 90.00
_cell_angle_beta 90.00
_cell_angle_gamma 90.00
loop_
_atom_site_label
_atom_site_fract_x
_atom_site_fract_y
_atom_site_fract_z
_atom_site_occupancy
Sr1 0.000 0.000 0.000 1
Sb1 0.500 0.500 0.500 1
I1 0.000 0.000 0.500 1
O1 0.000 0.500 0.000 1
```

This record from Alexandria via LeMat-Bulk describes an optimized crystal structure of SrSb2IO. The functional is GGA-PBE.

Computed properties:
Its density of states at the Fermi level is 16.158 states/eV per cell. Its total magnetization is 0.00 μB per cell. The value obtained for the polymorph energy (0 for the lowest one) is 1.624 eV per atom. The formation energy without anion corrections comes out at 986 meV per atom. Its uncorrected energy is -11.50 eV per cell.

```
data_SrSb2IO
_space_group_name_H-M_alt 'P 4/m m m'
_space_group_IT_number 123
_space_group_name_Hall '-P 4 2'
_cell_length_a 6.286
_cell_length_b 6.286
_cell_length_c 6.060
_cell_angle_alpha 90.00
_cell_angle_beta 90.00
_cell_angle_gamma 90.00
loop_
_atom_site_label
_atom_site_fract_x
_atom_site_fract_y
_atom_site_fract_z
_atom_site_occupancy
Sr1 0.000 0.000 0.000 1
Sb1 0.000 0.500 0.000 1
I1 0.000 0.000 0.500 1
O1 0.500 0.500 0.500 1
```

This record from Alexandria via LeMat-Bulk describes an optimized crystal structure of Sr2SbIO3. The functional is GGA-PBE.

Computed properties:
Its density of states at the Fermi level is 12.805 states/eV per cell. Its total magnetization is 0.00 μB per cell. The formation energy without anion corrections comes out at -1759 meV per atom. Its uncorrected energy is -217.35 eV per cell.

```
data_Sr2SbIO3
_space_group_name_H-M_alt 'R -3 m'
_space_group_IT_number 166
_space_group_name_Hall '-R 3 2"'
_cell_length_a 7.2450
_cell_length_b 7.2450
_cell_length_c 20.9368
_cell_angle_alpha 90.00
_cell_angle_beta 90.00
_cell_angle_gamma 120.00
loop_
_atom_site_label
_atom_site_fract_x
_atom_site_fract_y
_atom_site_fract_z
_atom_site_occupancy
Sr1 0.0000 0.0000 0.0000 1
Sr2 0.0000 0.5000 0.5000 1
Sb1 0.0000 0.0000 0.4306 1
I1 0.0000 0.0000 0.2846 1
O1 0.0081 0.5040 0.7655 1
```

This record from Alexandria via LeMat-Bulk describes an optimized crystal structure of SrSbIO2. The functional is GGA-PBE.

Computed properties:
Its density of states at the Fermi level is 0.000 states/eV per cell. Its total magnetization is 0.00 μB per cell. The formation energy without anion corrections comes out at -1842 meV per atom. Its uncorrected energy is -52.96 eV per cell.

```
data_SrSbIO2
_space_group_name_H-M_alt 'P 1 21/m 1'
_space_group_IT_number 11
_space_group_name_Hall '-P 2yb'
_cell_length_a 7.713
_cell_length_b 4.222
_cell_length_c 7.854
_cell_angle_alpha 90.00
_cell_angle_beta 103.13
_cell_angle_gamma 90.00
loop_
_atom_site_label
_atom_site_fract_x
_atom_site_fract_y
_atom_site_fract_z
_atom_site_occupancy
Sr1 0.172 0.250 0.410 1
Sb1 0.138 0.250 0.911 1
I1 0.455 0.750 0.260 1
O1 0.007 0.250 0.659 1
O2 0.033 0.750 0.914 1
```

This record from Alexandria via LeMat-Bulk describes an optimized crystal structure of TaSbIO2. The functional is GGA-PBE.

Computed properties:
Its density of states at the Fermi level is 3.649 states/eV per cell. Its total magnetization is 3.39 μB per cell. The value obtained for the polymorph energy (0 for the lowest one) is 1.211 eV per atom. The formation energy without anion corrections comes out at 408 meV per atom. Its uncorrected energy is -25.40 eV per cell.

```
data_TaSbIO2
_space_group_name_H-M_alt 'P 4/m m m'
_space_group_IT_number 123
_space_group_name_Hall '-P 4 2'
_cell_length_a 4.047
_cell_length_b 4.047
_cell_length_c 7.520
_cell_angle_alpha 90.00
_cell_angle_beta 90.00
_cell_angle_gamma 90.00
loop_
_atom_site_label
_atom_site_fract_x
_atom_site_fract_y
_atom_site_fract_z
_atom_site_occupancy
Ta1 0.000 0.000 0.000 1
Sb1 0.500 0.500 0.500 1
I1 0.500 0.500 0.000 1
O1 0.000 0.500 0.500 1
```

This record from Alexandria via LeMat-Bulk describes an optimized crystal structure of TaSb2IO. The functional is GGA-PBE.

Computed properties:
Its density of states at the Fermi level is 9.886 states/eV per cell. Its total magnetization is 0.00 μB per cell. The value obtained for the polymorph energy (0 for the lowest one) is 0.274 eV per atom. The formation energy without anion corrections comes out at 828 meV per atom. Its uncorrected energy is -22.47 eV per cell.

```
data_TaSb2IO
_space_group_name_H-M_alt 'P 4/m m m'
_space_group_IT_number 123
_space_group_name_Hall '-P 4 2'
_cell_length_a 5.356
_cell_length_b 5.356
_cell_length_c 5.285
_cell_angle_alpha 90.00
_cell_angle_beta 90.00
_cell_angle_gamma 90.00
loop_
_atom_site_label
_atom_site_fract_x
_atom_site_fract_y
_atom_site_fract_z
_atom_site_occupancy
Ta1 0.000 0.000 0.000 1
Sb1 0.000 0.500 0.000 1
I1 0.000 0.000 0.500 1
O1 0.500 0.500 0.500 1
```

This record from Alexandria via LeMat-Bulk describes an optimized crystal structure of TaSbI2O. The functional is GGA-PBE.

Computed properties:
Its density of states at the Fermi level is 2.698 states/eV per cell. Its total magnetization is 1.21 μB per cell. The value obtained for the polymorph energy (0 for the lowest one) is 0.000 eV per atom. The formation energy without anion corrections comes out at -342 meV per atom. Its uncorrected energy is -25.75 eV per cell.

```
data_TaSbI2O
_space_group_name_H-M_alt 'P 4/m m m'
_space_group_IT_number 123
_space_group_name_Hall '-P 4 2'
_cell_length_a 5.842
_cell_length_b 5.842
_cell_length_c 3.874
_cell_angle_alpha 90.00
_cell_angle_beta 90.00
_cell_angle_gamma 90.00
loop_
_atom_site_label
_atom_site_fract_x
_atom_site_fract_y
_atom_site_fract_z
_atom_site_occupancy
Ta1 0.000 0.000 0.000 1
Sb1 0.500 0.500 0.500 1
I1 0.000 0.500 0.000 1
O1 0.000 0.000 0.500 1
```

This record from Alexandria via LeMat-Bulk describes an optimized crystal structure of TaSbI2O. The functional is GGA-PBE.

Computed properties:
Its density of states at the Fermi level is 12.227 states/eV per cell. Its total magnetization is 0.00 μB per cell. The value obtained for the polymorph energy (0 for the lowest one) is 1.149 eV per atom. The formation energy without anion corrections comes out at 806 meV per atom. Its uncorrected energy is -20.00 eV per cell.

```
data_TaSbI2O
_space_group_name_H-M_alt 'P 4/m m m'
_space_group_IT_number 123
_space_group_name_Hall '-P 4 2'
_cell_length_a 5.350
_cell_length_b 5.350
_cell_length_c 5.498
_cell_angle_alpha 90.00
_cell_angle_beta 90.00
_cell_angle_gamma 90.00
loop_
_atom_site_label
_atom_site_fract_x
_atom_site_fract_y
_atom_site_fract_z
_atom_site_occupancy
Ta1 0.000 0.000 0.000 1
Sb1 0.000 0.000 0.500 1
I1 0.000 0.500 0.000 1
O1 0.500 0.500 0.500 1
```

This record from Alexandria via LeMat-Bulk describes an optimized crystal structure of TaSbIO2. The functional is GGA-PBE.

Computed properties:
Its density of states at the Fermi level is 3.558 states/eV per cell. Its total magnetization is 0.00 μB per cell. The value obtained for the polymorph energy (0 for the lowest one) is 0.000 eV per atom. The formation energy without anion corrections comes out at -803 meV per atom. Its uncorrected energy is -31.46 eV per cell.

```
data_TaSbIO2
_space_group_name_H-M_alt 'P 4/m m m'
_space_group_IT_number 123
_space_group_name_Hall '-P 4 2'
_cell_length_a 4.056
_cell_length_b 4.056
_cell_length_c 6.365
_cell_angle_alpha 90.00
_cell_angle_beta 90.00
_cell_angle_gamma 90.00
loop_
_atom_site_label
_atom_site_fract_x
_atom_site_fract_y
_atom_site_fract_z
_atom_site_occupancy
Ta1 0.000 0.000 0.000 1
Sb1 0.500 0.500 0.500 1
I1 0.000 0.000 0.500 1
O1 0.000 0.500 0.000 1
```

This record from Alexandria via LeMat-Bulk describes an optimized crystal structure of TaSbI2O. The functional is GGA-PBE.

Computed properties:
Its density of states at the Fermi level is 2.705 states/eV per cell. Its total magnetization is 2.04 μB per cell. The value obtained for the polymorph energy (0 for the lowest one) is 1.204 eV per atom. The formation energy without anion corrections comes out at 862 meV per atom. Its uncorrected energy is -19.72 eV per cell.

```
data_TaSbI2O
_space_group_name_H-M_alt 'P 4/m m m'
_space_group_IT_number 123
_space_group_name_Hall '-P 4 2'
_cell_length_a 5.000
_cell_length_b 5.000
_cell_length_c 4.618
_cell_angle_alpha 90.00
_cell_angle_beta 90.00
_cell_angle_gamma 90.00
loop_
_atom_site_label
_atom_site_fract_x
_atom_site_fract_y
_atom_site_fract_z
_atom_site_occupancy
Ta1 0.000 0.000 0.000 1
Sb1 0.500 0.500 0.000 1
I1 0.000 0.500 0.500 1
O1 0.500 0.500 0.500 1
```

This record from Alexandria via LeMat-Bulk describes an optimized crystal structure of TaSb2IO. The functional is GGA-PBE.

Computed properties:
Its density of states at the Fermi level is 5.560 states/eV per cell. Its total magnetization is 0.00 μB per cell. The value obtained for the polymorph energy (0 for the lowest one) is 0.000 eV per atom. The formation energy without anion corrections comes out at 554 meV per atom. Its uncorrected energy is -23.84 eV per cell.

```
data_TaSb2IO
_space_group_name_H-M_alt 'P 4/m m m'
_space_group_IT_number 123
_space_group_name_Hall '-P 4 2'
_cell_length_a 4.454
_cell_length_b 4.454
_cell_length_c 5.536
_cell_angle_alpha 90.00
_cell_angle_beta 90.00
_cell_angle_gamma 90.00
loop_
_atom_site_label
_atom_site_fract_x
_atom_site_fract_y
_atom_site_fract_z
_atom_site_occupancy
Ta1 0.000 0.000 0.000 1
Sb1 0.000 0.500 0.500 1
I1 0.500 0.500 0.000 1
O1 0.500 0.500 0.500 1
```